A plane-wave DFT calculation with GGA-PBE was carried out for a relaxed Ta2TeAs crystal.

a = 8.158 Å, b = 8.158 Å, c = 8.158 Å
α = 23.86°, β = 23.86°, γ = 23.86°
Fractional positions:
Ta: 0.991 0.991 0.991
Ta: 0.509 0.509 0.509
Te: 0.750 0.750 0.750
As: 0.250 0.250 0.250

## Properties
* SG: R-3m
* E: -7.746 eV per atom


A plane-wave DFT calculation with GGA-PBE was carried out for a relaxed YRuF2 crystal.

a = 7.818 Å, b = 7.818 Å, c = 7.818 Å
α = 22.12°, β = 22.12°, γ = 22.12°
Fractional positions:
F: 0.906 0.906 0.906
F: 0.094 0.094 0.094
Y: 0.500 0.500 0.500
Ru: 0.000 0.000 0.000

## Properties
* SG: R-3m
* E: -6.228 eV per atom


A plane-wave DFT calculation with GGA-PBE was carried out for a relaxed La2MoBrCl crystal.

a = 5.631 Å, b = 5.870 Å, c = 5.631 Å
α = 90.00°, β = 90.00°, γ = 90.00°
Fractional positions:
Br: 0.000 0.000 0.000
La: 0.000 0.000 0.500
La: 0.500 0.000 0.000
Cl: 0.000 0.500 0.000
Mo: 0.500 0.500 0.500

## Properties
* SG: P4/mmm
* E: -4.418 eV per atom


A plane-wave DFT calculation with GGA-PBE was carried out for a relaxed LaPmSm2Tl crystal.

a = 6.774 Å, b = 6.723 Å, c = 8.315 Å
α = 113.85°, β = 90.00°, γ = 90.00°
Fractional positions:
La: 0.250 0.252 0.504
La: 0.750 0.748 0.496
Tl: 0.250 0.647 0.293
Tl: 0.750 0.353 0.707
Pm: 0.750 0.156 0.312
Pm: 0.250 0.844 0.688
Sm: 0.500 0.743 0.000
Sm: 0.000 0.743 0.000
Sm: 0.500 0.257 0.000
Sm: 0.000 0.257 0.000

## Properties
* SG: Cmcm
* E_form: 61 meV per atom


A plane-wave DFT calculation with GGA-PBE was carried out for a relaxed YAl2Co2 crystal.

a = 3.966 Å, b = 3.966 Å, c = 5.846 Å
α = 70.17°, β = 70.17°, γ = 90.00°
Fractional positions:
Al: 0.750 0.250 0.500
Al: 0.250 0.750 0.500
Co: 0.392 0.392 0.217
Co: 0.608 0.608 0.783
Y: 0.000 0.000 0.000

## Properties
* SG: I4/mmm
* E_form: -434 meV per atom


A plane-wave DFT calculation with GGA-PBE was carried out for a relaxed Ac5Nd6Ho crystal.

a = 5.420 Å, b = 10.049 Å, c = 10.049 Å
α = 107.48°, β = 105.66°, γ = 105.66°
Fractional positions:
Nd: 0.253 0.753 0.753
Nd: 0.753 0.918 0.588
Nd: 0.747 0.247 0.247
Nd: 0.247 0.412 0.082
Nd: 0.247 0.082 0.412
Nd: 0.753 0.588 0.918
Ac: 0.500 0.162 0.838
Ac: 0.000 0.667 0.333
Ac: 0.000 0.333 0.667
Ac: 0.500 0.500 0.500
Ac: 0.500 0.838 0.162
Ho: 0.000 0.000 0.000

## Properties
* SG: Immm
* E_form: 37 meV per atom


A plane-wave DFT calculation with GGA-PBE was carried out for a relaxed Pm4Nd8Dy3 crystal.

a = 6.907 Å, b = 9.371 Å, c = 9.371 Å
α = 82.06°, β = 111.84°, γ = 111.84°
Fractional positions:
Pm: 0.000 0.000 0.000
Pm: 0.000 0.500 0.000
Pm: 0.500 0.000 0.000
Pm: 0.000 0.000 0.500
Nd: 0.000 0.702 0.298
Nd: 0.237 0.248 0.248
Nd: 0.763 0.752 0.752
Nd: 0.500 0.752 0.248
Nd: 0.790 0.298 0.298
Nd: 0.000 0.298 0.702
Nd: 0.500 0.248 0.752
Nd: 0.210 0.702 0.702
Dy: 0.500 0.500 0.500
Dy: 0.500 0.000 0.500
Dy: 0.500 0.500 0.000

## Properties
* SG: C2/m
* E_form: 315 meV per atom


A plane-wave DFT calculation with GGA-PBE was carried out for a relaxed LaAsRu3 crystal.

a = 4.618 Å, b = 4.618 Å, c = 4.618 Å
α = 90.00°, β = 90.00°, γ = 90.00°
Fractional positions:
Ru: 0.500 0.000 0.000
Ru: 0.000 0.000 0.500
Ru: 0.000 0.500 0.000
La: 0.500 0.500 0.500
As: 0.000 0.000 0.000

## Properties
* SG: Pm-3m
* E_form: 98 meV per atom


A plane-wave DFT calculation with GGA-PBE was carried out for a relaxed HfNi2SnH crystal.

a = 4.100 Å, b = 4.100 Å, c = 3.948 Å
α = 90.00°, β = 90.00°, γ = 90.00°
Fractional positions:
Ni: 0.000 0.500 0.000
Ni: 0.500 0.000 0.000
Sn: 0.500 0.500 0.500
Hf: 0.000 0.000 0.500
H: 0.000 0.000 0.000

## Properties
* SG: P4/mmm
* E: -5.981 eV per atom


A plane-wave DFT calculation with GGA-PBE was carried out for a relaxed Pr2Sm5In5 crystal.

a = 5.261 Å, b = 6.480 Å, c = 12.216 Å
α = 107.01°, β = 90.00°, γ = 113.95°
Fractional positions:
Pr: 0.070 0.140 0.755
Pr: 0.930 0.860 0.245
Sm: 0.653 0.306 0.004
Sm: 0.630 0.261 0.277
Sm: 0.370 0.739 0.723
Sm: 0.500 0.000 0.500
Sm: 0.347 0.694 0.996
In: 0.000 0.000 0.000
In: 0.175 0.350 0.465
In: 0.258 0.515 0.223
In: 0.825 0.650 0.535
In: 0.742 0.485 0.777

## Properties
* SG: C2/m
* E_form: -313 meV per atom


A plane-wave DFT calculation with GGA-PBE was carried out for a relaxed Cu3SbTe crystal.

a = 4.892 Å, b = 4.892 Å, c = 4.892 Å
α = 90.00°, β = 90.00°, γ = 90.00°
Fractional positions:
Cu: 0.000 0.500 0.000
Cu: 0.000 0.000 0.500
Cu: 0.500 0.000 0.000
Sb: 0.000 0.000 0.000
Te: 0.500 0.500 0.500

## Properties
* SG: Pm-3m
* E: -3.281 eV per atom


A plane-wave DFT calculation with GGA-PBE was carried out for a relaxed LiCaScIr crystal.

a = 4.789 Å, b = 4.789 Å, c = 4.789 Å
α = 60.00°, β = 60.00°, γ = 60.00°
Fractional positions:
Ir: 0.000 0.000 0.000
Li: 0.500 0.500 0.500
Sc: 0.250 0.250 0.250
Ca: 0.750 0.750 0.750

## Properties
* SG: F-43m
* E_form: -370 meV per atom


Which formula does entry 5 have?
YAl2Co2


What did the second record say?
A plane-wave DFT calculation with GGA-PBE was carried out for a relaxed YRuF2 crystal.

a = 7.818 Å, b = 7.818 Å, c = 7.818 Å
α = 22.12°, β = 22.12°, γ = 22.12°
Fractional positions:
F: 0.906 0.906 0.906
F: 0.094 0.094 0.094
Y: 0.500 0.500 0.500
Ru: 0.000 0.000 0.000

## Properties
* SG: R-3m
* E: -6.228 eV per atom